[1]
DFT (meta-GGA SCAN) results for ScCoTc2 at its PBEsol-relaxed geometry.

Cell: 2.676 4.940 5.054 Å, 116.10 100.06 100.62°
Each line ends with the local moment (μB).
Element x y z (fractional)
1 Tc 0.000 0.000 0.500  0.13
2 Tc 0.500 0.500 0.500  0.13
3 Sc 0.000 0.500 0.000  -0.11
4 Co 0.500 0.000 0.000  1.76

- Calculated formation energy: 0.1 eV/f.u.
- Space group: C2/m, No. 12


[2]
DFT (meta-GGA SCAN) results for BaHgCl at its PBEsol-relaxed geometry.

Cell: 5.353 5.353 5.353 Å, 60.00 60.00 60.00°
Each line ends with the local moment (μB).
Element x y z (fractional)
1 Hg 0.500 0.500 0.500  0.11
2 Ba 0.250 0.250 0.250  0.12
3 Cl 0.000 0.000 0.000  0.05

- ΔE_f (raw): -1.24 eV/atom
- Space group: F-43m, No. 216


[3]
DFT (meta-GGA SCAN) results for Rb2TlSbI6 at its PBEsol-relaxed geometry.

Cell: 8.716 8.716 8.716 Å, 60.00 60.00 60.00°
Element x y z (fractional)
1 I 0.758 0.758 0.242
2 Sb 0.000 0.000 0.000
3 I 0.242 0.242 0.758
4 I 0.758 0.242 0.242
5 I 0.242 0.758 0.758
6 Rb 0.250 0.250 0.250
7 I 0.242 0.758 0.242
8 I 0.758 0.242 0.758
9 Rb 0.750 0.750 0.750
10 Tl 0.500 0.500 0.500

- ΔE_f (raw): -0.89 eV/atom
- Space group: Fm-3m, No. 225


[4]
DFT (meta-GGA SCAN) results for BaNbF3 at its PBEsol-relaxed geometry.

Cell: 4.480 4.480 4.480 Å, 90.00 90.00 90.00°
Each line ends with the local moment (μB).
Element x y z (fractional)
1 Ba 0.500 0.500 0.500  0.19
2 F 0.500 0.000 0.000  0.07
3 F 0.000 0.000 0.500  0.07
4 F 0.000 0.500 0.000  0.07
5 Nb 0.000 0.000 0.000  2.38

- ΔE_f (raw): -2.34 eV/atom
- Space group: Pm-3m, No. 221


[5]
DFT (meta-GGA SCAN) results for KBPt3 at its PBEsol-relaxed geometry.

Cell: 4.228 6.220 7.884 Å, 102.62 105.22 93.16°
Element x y z (fractional)
1 K 0.285 0.859 0.111
2 K 0.039 0.047 0.512
3 Pt 0.038 0.420 0.268
4 B 0.791 0.709 0.709
5 B 0.919 0.259 0.011
6 Pt 0.636 0.990 0.822
7 Pt 0.633 0.515 0.450
8 Pt 0.248 0.598 0.677
9 Pt 0.802 0.409 0.798
10 Pt 0.418 0.353 0.026

- Calculated formation energy: -1.7 eV/f.u.
- Space group: P1, No. 1


[6]
DFT (meta-GGA SCAN) results for RbScTiPb2 at its PBEsol-relaxed geometry.

Cell: 4.905 5.777 5.777 Å, 90.00 90.00 90.00°
Each line ends with the local moment (μB).
Element x y z (fractional)
1 Pb 0.000 0.500 0.000  -0.01
2 Rb 0.000 0.000 0.000  0.09
3 Ti 0.500 0.000 0.000  2.08
4 Pb 0.000 0.000 0.500  -0.01
5 Sc 0.500 0.500 0.500  0.35

- Calculated formation energy: 7.2 eV/f.u.
- Space group: P4/mmm, No. 123


[7]
DFT (meta-GGA SCAN) results for Rb2CaBiP at its PBEsol-relaxed geometry.

Cell: 5.059 6.921 6.921 Å, 90.00 90.00 90.00°
Each line ends with the local moment (μB).
Element x y z (fractional)
1 Rb 0.000 0.500 0.000  0.00
2 Bi 0.500 0.500 0.500  0.89
3 Ca 0.000 0.000 0.000  0.00
4 Rb 0.000 0.000 0.500  0.00
5 P 0.500 0.000 0.000  0.15

- Calculated formation energy: 1.1 eV/f.u.
- Space group: P4/mmm, No. 123


[8]
DFT (meta-GGA SCAN) results for EuCO4 at its PBEsol-relaxed geometry.

Cell: 4.923 7.184 8.258 Å, 90.00 90.00 90.00°
Each line ends with the local moment (μB).
Element x y z (fractional)
1 Eu 0.500 0.616 0.692  6.24
2 O 0.000 0.075 0.784  -0.09
3 O 0.500 0.925 0.284  -0.09
4 O 0.500 0.425 0.216  -0.09
5 Eu 0.000 0.384 0.192  6.24
6 O 0.273 0.087 0.098  -0.12
7 O 0.273 0.587 0.402  -0.12
8 C 0.500 0.535 0.338  0.01
9 C 0.500 0.035 0.162  0.01
10 O 0.227 0.413 0.902  -0.12
11 C 0.000 0.465 0.838  0.01
12 O 0.500 0.323 0.622  -0.81
13 C 0.000 0.965 0.662  0.01
14 O 0.773 0.913 0.598  -0.12
15 O 0.727 0.087 0.098  -0.12
16 O 0.000 0.177 0.378  -0.81
17 O 0.000 0.575 0.716  -0.09
18 O 0.500 0.823 0.878  -0.81
19 Eu 0.500 0.116 0.808  6.24
20 O 0.000 0.677 0.122  -0.81
21 O 0.773 0.413 0.902  -0.12
22 Eu 0.000 0.884 0.308  6.24
23 O 0.227 0.913 0.598  -0.12
24 O 0.727 0.587 0.402  -0.12

- ΔE_f (raw): -1.88 eV/atom
- Space group: Pnma, No. 62


E / eV per atom: -25.397, -39.808, -38.044, -19.003, -45.609, -39.070, -27.805, -16.670